VASP calculation (PBE-GGA) on a relaxed structure of SnSbMo4N2.

Cell and atoms, written as POSCAR:
```
SnSbMo4N2
1.0
3.299 0.000 0.000
-1.649 2.857 0.000
0.000 0.000 12.748
Sn Sb Mo N
1 1 4 2
direct
0.000 0.000 0.000
0.667 0.333 0.500
0.000 0.000 0.330
0.000 0.000 0.670
0.667 0.333 0.176
0.667 0.333 0.824
0.333 0.667 0.251
0.333 0.667 0.749
```

Properties
SG: P-6m2
Total energy (eV per atom): -8.504
Magnetic moment (μB/f.u.): 0.0

***

VASP calculation (PBE-GGA) on a relaxed structure of Ta4Sb3Mo2N3.

Cell and atoms, written as POSCAR:
```
Ta4Sb3Mo2N3
1.0
5.013 -2.874 0.000
5.013 2.874 0.000
-3.181 0.000 12.952
Ta Sb Mo N
8 6 4 6
direct
0.001 0.785 0.921
0.168 0.304 0.421
0.215 0.999 0.579
0.304 0.168 0.921
0.696 0.832 0.079
0.785 0.001 0.421
0.832 0.696 0.579
0.999 0.215 0.079
0.087 0.913 0.250
0.249 0.416 0.747
0.416 0.249 0.247
0.584 0.751 0.753
0.751 0.584 0.253
0.913 0.087 0.750
0.392 0.536 0.088
0.464 0.608 0.412
0.536 0.392 0.588
0.608 0.464 0.912
0.000 0.500 0.000
0.150 0.672 0.502
0.328 0.850 0.998
0.500 0.000 0.500
0.672 0.150 0.002
0.850 0.328 0.498
```

Properties
SG: C2/c
Total energy (eV per atom): -9.094
Magnetic moment (μB/f.u.): 0.0

***

VASP calculation (PBE-GGA) on a relaxed structure of Sb3Mo2W4N3.

Cell and atoms, written as POSCAR:
```
Sb3Mo2W4N3
1.0
5.056 -2.921 0.000
5.056 2.921 0.000
-3.408 0.000 12.363
Sb Mo W N
6 4 8 6
direct
0.081 0.919 0.750
0.247 0.416 0.249
0.416 0.247 0.749
0.584 0.753 0.251
0.753 0.584 0.751
0.919 0.081 0.250
0.365 0.527 0.580
0.473 0.635 0.920
0.527 0.365 0.080
0.635 0.473 0.420
0.020 0.197 0.575
0.147 0.308 0.925
0.197 0.020 0.075
0.308 0.147 0.425
0.692 0.853 0.575
0.803 0.980 0.925
0.853 0.692 0.075
0.980 0.803 0.425
0.000 0.500 0.500
0.161 0.670 0.000
0.330 0.839 0.500
0.500 0.000 0.000
0.670 0.161 0.500
0.839 0.330 0.000
```

Properties
SG: C2/c
Total energy (eV per atom): -8.943
Magnetic moment (μB/f.u.): 0.0

***

VASP calculation (PBE-GGA) on a relaxed structure of Sb3Mo4W2N3.

Cell and atoms, written as POSCAR:
```
Sb3Mo4W2N3
1.0
5.030 -2.902 0.000
5.030 2.902 0.000
-3.380 0.000 12.438
Sb Mo W N
6 8 4 6
direct
0.085 0.915 0.750
0.253 0.416 0.251
0.416 0.253 0.751
0.584 0.747 0.249
0.747 0.584 0.749
0.915 0.085 0.250
0.031 0.187 0.579
0.134 0.307 0.922
0.187 0.031 0.079
0.307 0.134 0.422
0.693 0.866 0.578
0.813 0.969 0.921
0.866 0.693 0.078
0.969 0.813 0.421
0.352 0.525 0.574
0.475 0.648 0.926
0.525 0.352 0.074
0.648 0.475 0.426
0.000 0.500 0.500
0.173 0.663 0.999
0.337 0.827 0.501
0.500 0.000 0.000
0.663 0.173 0.499
0.827 0.337 0.001
```

Properties
SG: C2/c
Total energy (eV per atom): -8.724
Magnetic moment (μB/f.u.): 0.0

***

VASP calculation (PBE-GGA) on a relaxed structure of Y3Sb3Mo2N12.

Cell and atoms, written as POSCAR:
```
Y3Sb3Mo2N12
1.0
-6.426 6.426 6.426
6.426 -6.426 6.426
6.426 6.426 -6.426
Y Sb Mo N
12 12 8 48
direct
0.125 0.250 0.375
0.125 0.375 0.750
0.250 0.375 0.125
0.250 0.875 0.625
0.375 0.125 0.250
0.375 0.750 0.125
0.625 0.250 0.875
0.625 0.875 0.750
0.750 0.125 0.375
0.750 0.625 0.875
0.875 0.625 0.250
0.875 0.750 0.625
0.125 0.750 0.875
0.125 0.875 0.250
0.250 0.125 0.875
0.250 0.625 0.375
0.375 0.250 0.625
0.375 0.625 0.750
0.625 0.375 0.250
0.625 0.750 0.375
0.750 0.375 0.625
0.750 0.875 0.125
0.875 0.125 0.750
0.875 0.250 0.125
0.000 0.000 0.000
0.000 0.000 0.500
0.000 0.500 0.000
0.000 0.500 0.500
0.500 0.000 0.000
0.500 0.000 0.500
0.500 0.500 0.000
0.500 0.500 0.500
0.030 0.203 0.116
0.030 0.327 0.914
0.086 0.616 0.414
0.086 0.703 0.673
0.086 0.884 0.414
0.086 0.970 0.673
0.116 0.030 0.203
0.116 0.586 0.914
0.173 0.203 0.586
0.173 0.470 0.586
0.203 0.116 0.030
0.203 0.586 0.173
0.297 0.327 0.914
0.297 0.470 0.384
0.327 0.914 0.030
0.327 0.914 0.297
0.384 0.297 0.470
0.384 0.586 0.914
0.414 0.086 0.616
0.414 0.086 0.884
0.414 0.827 0.530
0.414 0.827 0.797
0.470 0.384 0.297
0.470 0.586 0.173
0.530 0.414 0.827
0.530 0.616 0.703
0.586 0.173 0.203
0.586 0.173 0.470
0.586 0.914 0.116
0.586 0.914 0.384
0.616 0.414 0.086
0.616 0.703 0.530
0.673 0.086 0.703
0.673 0.086 0.970
0.703 0.530 0.616
0.703 0.673 0.086
0.797 0.414 0.827
0.797 0.884 0.970
0.827 0.530 0.414
0.827 0.797 0.414
0.884 0.414 0.086
0.884 0.970 0.797
0.914 0.030 0.327
0.914 0.116 0.586
0.914 0.297 0.327
0.914 0.384 0.586
0.970 0.673 0.086
0.970 0.797 0.884
```

Properties
SG: Ia-3d
Total energy (eV per atom): -7.906
Magnetic moment (μB/f.u.): 0.0

***

VASP calculation (PBE-GGA) on a relaxed structure of Zr4Sb3Mo2N3.

Cell and atoms, written as POSCAR:
```
Zr4Sb3Mo2N3
1.0
5.145 -2.963 0.000
5.145 2.963 0.000
-3.418 0.000 13.085
Zr Sb Mo N
8 6 4 6
direct
0.018 0.207 0.088
0.149 0.303 0.412
0.207 0.018 0.588
0.303 0.149 0.912
0.697 0.851 0.088
0.793 0.982 0.412
0.851 0.697 0.588
0.982 0.793 0.912
0.106 0.894 0.250
0.270 0.417 0.749
0.417 0.270 0.249
0.583 0.730 0.751
0.730 0.583 0.251
0.894 0.106 0.750
0.374 0.527 0.078
0.473 0.626 0.422
0.527 0.374 0.578
0.626 0.473 0.922
0.000 0.500 0.000
0.157 0.671 0.500
0.329 0.843 0.000
0.500 0.000 0.500
0.671 0.157 0.000
0.843 0.329 0.500
```

Properties
SG: C2/c
Total energy (eV per atom): -8.494
Magnetic moment (μB/f.u.): 0.0

***

VASP calculation (PBE-GGA) on a relaxed structure of Zr2Sb3Mo4N3.

Cell and atoms, written as POSCAR:
```
Zr2Sb3Mo4N3
1.0
4.985 -2.905 0.000
4.985 2.905 0.000
-3.462 0.000 13.014
Zr Sb Mo N
4 6 8 6
direct
0.029 0.851 0.590
0.149 0.971 0.910
0.851 0.029 0.090
0.971 0.149 0.410
0.079 0.280 0.749
0.280 0.079 0.249
0.441 0.559 0.750
0.559 0.441 0.250
0.720 0.921 0.751
0.921 0.720 0.251
0.197 0.383 0.081
0.326 0.449 0.421
0.383 0.197 0.581
0.449 0.326 0.921
0.551 0.674 0.079
0.617 0.803 0.419
0.674 0.551 0.579
0.803 0.617 0.919
0.000 0.500 0.500
0.161 0.678 0.000
0.322 0.839 0.500
0.500 0.000 0.000
0.678 0.161 0.500
0.839 0.322 0.000
```

Properties
SG: C2/c
Total energy (eV per atom): -8.499
Magnetic moment (μB/f.u.): 0.0

***

VASP calculation (PBE-GGA) on a relaxed structure of Sc3MoN.

Cell and atoms, written as POSCAR:
```
Sc3MoN
1.0
4.386 0.000 0.000
0.000 4.386 0.000
0.000 0.000 4.386
Sc Mo N
3 1 1
direct
0.000 0.000 0.500
0.000 0.500 0.000
0.500 0.000 0.000
0.500 0.500 0.500
0.000 0.000 0.000
```

Properties
SG: Pm-3m
Total energy (eV per atom): -8.178
Magnetic moment (μB/f.u.): 0.3